Record 1
A geometry-optimized Ac3YSe6 structure. Source: Alexandria via LeMat-Bulk, functional GGA-PBE.

a b c (Å): 7.378 8.048 10.942
angles (deg): 90.00 91.76 90.00
Atoms (fractional coordinates):
Se 0.690 0.181 0.923
Se 0.310 0.819 0.077
Se 0.668 0.194 0.575
Se 0.832 0.694 0.925
Se 0.332 0.806 0.425
Se 0.650 0.441 0.262
Se 0.168 0.306 0.075
Se 0.850 0.941 0.238
Se 0.350 0.559 0.738
Se 0.150 0.059 0.762
Se 0.190 0.319 0.423
Se 0.810 0.681 0.577
Y 0.000 0.000 0.000
Y 0.500 0.500 0.500
Ac 0.462 0.093 0.254
Ac 0.500 0.500 0.000
Ac 0.538 0.907 0.746
Ac 0.038 0.593 0.246
Ac 0.000 0.000 0.500
Ac 0.962 0.407 0.754

Calculated values
ΔE_f (raw) (eV/atom): -1.96
Size of the total moment (μB/cell): 0.000
Fermi-level density of states (states/eV per cell): 0.00



Record 2
A geometry-optimized AcYSe structure. Source: Alexandria via LeMat-Bulk, functional GGA-PBE.

a b c (Å): 7.847 6.478 9.222
angles (deg): 90.00 127.81 90.00
Atoms (fractional coordinates):
Se 0.183 0.380 0.974
Se 0.317 0.880 0.526
Se 0.817 0.620 0.026
Se 0.683 0.120 0.474
Ac 0.723 0.144 0.871
Ac 0.223 0.356 0.371
Ac 0.277 0.856 0.129
Ac 0.777 0.644 0.629
Y 0.347 0.621 0.789
Y 0.847 0.879 0.289
Y 0.153 0.121 0.711
Y 0.653 0.379 0.211

Calculated values
ΔE_f (raw) (eV/atom): -1.07
Size of the total moment (μB/cell): 0.000
Fermi-level density of states (states/eV per cell): 9.49



Record 3
A geometry-optimized Ac2YSe structure. Source: Alexandria via LeMat-Bulk, functional GGA-PBE.

a b c (Å): 4.095 4.095 10.600
angles (deg): 78.86 78.86 60.00
Last column: magnetic moment on the atom in μB.
Atoms (fractional coordinates):
Y 0.500 0.500 0.500  0.18
Ac 0.264 0.264 0.207  0.01
Ac 0.736 0.736 0.793  0.01
Se 0.000 0.000 0.000  0.01

Calculated values
ΔE_f (raw) (eV/atom): -0.72
Size of the total moment (μB/cell): 0.498
Fermi-level density of states (states/eV per cell): 4.32



Record 4
A geometry-optimized Ac3YSe6 structure. Source: Alexandria via LeMat-Bulk, functional GGA-PBE.

a b c (Å): 8.925 8.925 8.925
angles (deg): 91.89 91.89 91.89
Atoms (fractional coordinates):
Se 0.416 0.194 0.543
Se 0.806 0.457 0.584
Se 0.925 0.696 0.081
Se 0.081 0.925 0.696
Se 0.543 0.416 0.194
Se 0.194 0.543 0.416
Se 0.696 0.081 0.925
Se 0.075 0.304 0.919
Se 0.457 0.584 0.806
Se 0.919 0.075 0.304
Se 0.584 0.806 0.457
Se 0.304 0.919 0.075
Ac 0.079 0.251 0.571
Ac 0.749 0.429 0.921
Ac 0.429 0.921 0.749
Ac 0.571 0.079 0.251
Ac 0.251 0.571 0.079
Ac 0.921 0.749 0.429
Y 0.000 0.000 0.000
Y 0.500 0.500 0.500

Calculated values
ΔE_f (raw) (eV/atom): -1.98
Size of the total moment (μB/cell): 0.000
Fermi-level density of states (states/eV per cell): 0.00



Record 5
A geometry-optimized Ac3Y5Se12 structure. Source: Alexandria via LeMat-Bulk, functional GGA-PBE.

a b c (Å): 15.007 15.007 15.007
angles (deg): 109.47 109.47 109.47
Atoms (fractional coordinates):
Y 0.625 0.875 0.250
Y 0.250 0.875 0.125
Y 0.500 0.000 0.500
Y 0.000 0.000 0.000
Y 0.500 0.000 0.000
Y 0.625 0.750 0.875
Y 0.125 0.750 0.375
Y 0.000 0.500 0.500
Y 0.375 0.125 0.750
Y 0.500 0.500 0.000
Y 0.250 0.375 0.625
Y 0.750 0.625 0.375
Y 0.125 0.375 0.250
Y 0.500 0.500 0.500
Y 0.000 0.500 0.000
Y 0.875 0.625 0.750
Y 0.750 0.125 0.875
Y 0.000 0.000 0.500
Y 0.875 0.250 0.625
Y 0.375 0.250 0.125
Se 0.675 0.459 0.586
Se 0.873 0.284 0.459
Se 0.414 0.041 0.325
Se 0.784 0.325 0.911
Se 0.541 0.216 0.127
Se 0.216 0.675 0.089
Se 0.284 0.873 0.959
Se 0.911 0.086 0.627
Se 0.373 0.959 0.784
Se 0.459 0.784 0.873
Se 0.627 0.586 0.911
Se 0.959 0.373 0.284
Se 0.041 0.627 0.716
Se 0.325 0.784 0.411
Se 0.959 0.586 0.175
Se 0.784 0.459 0.373
Se 0.825 0.911 0.284
Se 0.175 0.089 0.716
Se 0.325 0.541 0.414
Se 0.914 0.089 0.873
Se 0.589 0.716 0.675
Se 0.041 0.414 0.825
Se 0.216 0.541 0.627
Se 0.086 0.175 0.459
Se 0.716 0.589 0.175
Se 0.175 0.086 0.959
Se 0.086 0.911 0.127
Se 0.825 0.914 0.041
Se 0.089 0.914 0.373
Se 0.914 0.825 0.541
Se 0.089 0.175 0.216
Se 0.459 0.675 0.086
Se 0.589 0.873 0.414
Se 0.911 0.825 0.784
Se 0.411 0.127 0.586
Se 0.541 0.325 0.914
Se 0.716 0.127 0.041
Se 0.414 0.373 0.589
Se 0.586 0.959 0.675
Se 0.127 0.411 0.086
Se 0.586 0.627 0.411
Se 0.411 0.284 0.325
Se 0.873 0.589 0.914
Se 0.373 0.414 0.089
Se 0.627 0.041 0.216
Se 0.675 0.216 0.589
Se 0.127 0.716 0.541
Se 0.284 0.411 0.825
Ac 0.625 0.375 0.750
Ac 0.125 0.875 0.750
Ac 0.750 0.875 0.625
Ac 0.625 0.250 0.375
Ac 0.250 0.625 0.875
Ac 0.875 0.750 0.125
Ac 0.375 0.750 0.625
Ac 0.125 0.250 0.875
Ac 0.375 0.625 0.250
Ac 0.250 0.125 0.375
Ac 0.875 0.125 0.250
Ac 0.750 0.375 0.125

Calculated values
ΔE_f (raw) (eV/atom): -1.84
Size of the total moment (μB/cell): 0.000
Fermi-level density of states (states/eV per cell): 0.00



Record 6
A geometry-optimized AcY4Se5 structure. Source: Alexandria via LeMat-Bulk, functional GGA-PBE.

a b c (Å): 4.138 7.231 9.320
angles (deg): 75.51 77.17 73.37
Atoms (fractional coordinates):
Se 0.206 0.905 0.683
Se 0.612 0.668 0.108
Se 0.794 0.095 0.317
Se 0.388 0.332 0.892
Se 0.000 0.500 0.500
Y 0.795 0.617 0.792
Y 0.595 0.205 0.605
Y 0.405 0.795 0.395
Y 0.205 0.383 0.208
Ac 0.000 0.000 0.000

Calculated values
ΔE_f (raw) (eV/atom): -1.77
Size of the total moment (μB/cell): 0.000
Fermi-level density of states (states/eV per cell): 5.12



Record 7
A geometry-optimized Ac5YSe6 structure. Source: Alexandria via LeMat-Bulk, functional GGA-PBE.

a b c (Å): 7.636 7.636 7.635
angles (deg): 99.66 99.66 120.14
Atoms (fractional coordinates):
Ac 0.500 0.500 0.500
Ac 0.173 0.827 0.500
Ac 0.665 0.335 0.000
Ac 0.335 0.665 0.000
Ac 0.827 0.173 0.500
Se 0.396 0.078 0.237
Se 0.235 0.235 0.755
Se 0.765 0.765 0.245
Se 0.604 0.922 0.763
Se 0.078 0.396 0.237
Se 0.922 0.604 0.763
Y 0.000 0.000 0.000

Calculated values
ΔE_f (raw) (eV/atom): -1.84
Size of the total moment (μB/cell): 0.000
Fermi-level density of states (states/eV per cell): 6.23



Record 8
A geometry-optimized Ac3ZnSe6 structure. Source: Alexandria via LeMat-Bulk, functional GGA-PBE.

a b c (Å): 6.749 9.911 9.911
angles (deg): 102.29 90.00 90.00
Atoms (fractional coordinates):
Ac 0.475 0.287 0.068
Ac 0.906 0.620 0.380
Ac 0.475 0.932 0.713
Ac 0.975 0.068 0.287
Ac 0.975 0.713 0.932
Ac 0.406 0.380 0.620
Zn 0.536 0.807 0.193
Zn 0.036 0.193 0.807
Se 0.694 0.328 0.355
Se 0.677 0.217 0.783
Se 0.183 0.099 0.576
Se 0.194 0.355 0.328
Se 0.194 0.672 0.645
Se 0.163 0.038 0.962
Se 0.183 0.424 0.901
Se 0.694 0.645 0.672
Se 0.177 0.783 0.217
Se 0.683 0.901 0.424
Se 0.683 0.576 0.099
Se 0.663 0.962 0.038

Calculated values
ΔE_f (raw) (eV/atom): -1.59
Size of the total moment (μB/cell): 0.003
Fermi-level density of states (states/eV per cell): 7.92